Below is a geometry-optimized AcInPb structure, with properties calculated at the PBE level.

Properties
E_form ... -348.3 meV/atom
Volume ... 33.2 Å³ per atom
Crystal system ... orthorhombic
Magnetization ... 0.00 μB/cell
E ... -46.40 eV for the cell shown
ρ ... 9.141 g/cm³

Cell and atoms, written as CIF:
```
data_AcInPb
_chemical_formula_sum 'Ac4 In4 Pb4'
_symmetry_space_group_name_H-M 'C m c m'
_symmetry_Int_Tables_number 63
_symmetry_space_group_name_Hall '-C 2c 2'
_cell_length_a 6.158
_cell_length_b 9.279
_cell_length_c 6.982
_cell_angle_alpha 90.00
_cell_angle_beta 90.00
_cell_angle_gamma 90.00
loop_
_atom_site_label
_atom_site_fract_x
_atom_site_fract_y
_atom_site_fract_z
Ac1 0.000 0.163 0.250
In1 0.000 0.193 0.750
Pb1 0.000 0.500 0.000
```